No. 1
Below is a relaxed structure of Li2MgBi, with properties calculated at the PBEsol level.

formation energy: -0.351 eV/atom
E_tot: -0.2084 Ry per atom
SG: No. 225
total magnetization: 0.00 μB/f.u.

Cell: 4.8719 4.8719 4.8719 Å, 60.00 60.00 60.00°
With the nearest neighbours (Å) after each atom.
Fractional coordinates of all 4 atoms:
Li (0.2500, 0.2500, 0.2500)  4 Bi 2.98, 4 Mg 2.98
Li (0.7500, 0.7500, 0.7500)  4 Bi 2.98, 4 Mg 2.98
Mg (0.0000, 0.0000, 0.0000)  8 Li 2.98
Bi (0.5000, 0.5000, 0.5000)  8 Li 2.98

---

No. 2
Below is a relaxed structure of Ga2HgBi, with properties calculated at the PBEsol level.

formation energy: 0.053 eV/atom
E_tot: -0.2080 Ry per atom
SG: No. 225
total magnetization: 0.00 μB/f.u.

Cell: 5.0854 5.0854 5.0854 Å, 60.00 60.00 60.00°
With the nearest neighbours (Å) after each atom.
Fractional coordinates of all 4 atoms:
Ga (0.2500, 0.2500, 0.2500)  4 Hg 3.11, 4 Bi 3.11
Ga (0.7500, 0.7500, 0.7500)  4 Hg 3.11, 4 Bi 3.11
Hg (0.0000, 0.0000, 0.0000)  8 Ga 3.11
Bi (0.5000, 0.5000, 0.5000)  8 Ga 3.11

---

No. 3
Below is a relaxed structure of Rb2NaSbI6, with properties calculated at the PBEsol level.

E_tot: -0.2051 Ry per atom
SG: No. 225
total magnetization: 0.00 μB/f.u.
uncorrected formation energy: -9.30 eV/f.u.

Cell: 8.5213 8.5213 8.5213 Å, 60.00 60.00 60.00°
With the nearest neighbours (Å) after each atom.
Fractional coordinates of all 10 atoms:
Rb (0.2500, 0.2500, 0.2500)  12 I 4.26
Rb (0.7500, 0.7500, 0.7500)  12 I 4.26
Na (0.0000, 0.0000, 0.0000)  6 I 3.05
Sb (0.5000, 0.5000, 0.5000)  6 I 2.97
I (0.2535, 0.2535, 0.7465)  1 Sb 2.97, 1 Na 3.05
I (0.2535, 0.7465, 0.2535)  1 Sb 2.97, 1 Na 3.05
I (0.2535, 0.7465, 0.7465)  1 Sb 2.97, 1 Na 3.05
I (0.7465, 0.2535, 0.2535)  1 Sb 2.97, 1 Na 3.05
I (0.7465, 0.2535, 0.7465)  1 Sb 2.97, 1 Na 3.05
I (0.7465, 0.7465, 0.2535)  1 Sb 2.97, 1 Na 3.05

---

No. 4
Below is a relaxed structure of ScSnSbTe2, with properties calculated at the PBEsol level.

E_tot: -0.3343 Ry per atom
SG: No. 123
total magnetization: 0.00 μB/f.u.
uncorrected formation energy: -0.27 eV/f.u.

Cell: 5.4307 5.4307 5.4248 Å, 90.00 90.00 90.00°
With the nearest neighbours (Å) after each atom.
Fractional coordinates of all 5 atoms:
Sc (0.0000, 0.0000, 0.0000)  2 Sb 2.71, 4 Te 2.72
Sn (0.5000, 0.5000, 0.5000)  8 Te 3.84, 4 Sb 3.84
Sb (0.0000, 0.0000, 0.5000)  2 Sc 2.71
Te (0.0000, 0.5000, 0.0000)  2 Sc 2.72
Te (0.5000, 0.0000, 0.0000)  2 Sc 2.72